(1)
VASP calculation (PBE-GGA) on a relaxed structure of Ho6ZnCo2.

extended XYZ file:
```
18
Lattice="8.219 0.026 -0.024 -3.090 7.616 0.024 -2.768 -3.684 6.806" Properties=species:S:1:pos:R:3 pbc="T T T"
Zn 0.000 0.000 0.000
Co 3.630 -2.436 4.516
Ho 2.663 0.289 4.584
Ho -0.302 3.668 2.222
Co 1.821 -1.222 2.266
Ho -2.349 5.042 4.608
Ho 4.710 -1.084 2.198
Ho 5.756 1.679 0.290
Zn -2.929 1.966 3.415
Ho 4.678 4.853 1.219
Ho -0.049 2.484 5.587
Ho 2.410 1.474 1.219
Co 1.890 4.274 0.786
Ho 2.702 3.729 3.851
Ho -3.395 2.278 6.516
Ho -0.341 0.229 2.955
Co 0.470 -0.316 6.020
Ho -2.318 -0.896 5.587
```

Values from the calculation:
uncorrected energy = -89.93 eV/cell

***

(2)
VASP calculation (PBE-GGA) on a relaxed structure of NaSrF.

extended XYZ file:
```
3
Lattice="4.174 0.000 0.000 -2.087 3.614 0.000 0.000 0.000 6.999" Properties=species:S:1:pos:R:3 pbc="T T T"
Sr 2.087 1.205 3.498
F 0.000 2.410 3.500
Na 0.000 0.000 6.998
```

Values from the calculation:
E above lowest polymorph = 0.000 eV/atom
uncorrected energy = -10.20 eV/cell

***

(3)
VASP calculation (PBE-GGA) on a relaxed structure of SrRuCl.

extended XYZ file:
```
3
Lattice="-1.762 -2.813 1.628 2.891 -0.660 -2.208 3.879 0.434 4.950" Properties=species:S:1:pos:R:3 pbc="T T T"
Ru 0.998 -1.960 1.893
Cl 0.035 0.004 0.044
Sr 3.974 -1.083 2.433
```

Values from the calculation:
E above lowest polymorph = 0.221 eV/atom
uncorrected energy = -12.36 eV/cell

***

(4)
VASP calculation (PBE-GGA) on a relaxed structure of Tl2TcMoOs.

extended XYZ file:
```
5
Lattice="-2.045 4.285 2.343 -2.360 0.948 -3.793 -4.045 -2.909 1.790" Properties=species:S:1:pos:R:3 pbc="T T T"
Tl -2.023 -1.455 0.895
Os -4.225 1.162 0.170
Tl -1.022 2.143 1.171
Tc -1.180 0.474 -1.896
Mo 0.000 0.000 0.000
```

Values from the calculation:
uncorrected energy = -26.49 eV/cell

***

no.,total magnetic moment (Bohr magnetons per cell)
1,0.0
2,0.0
3,1.9
4,3.9